# 1
VASP calculation (PBE) on PrNdHgO after structural relaxation.

Unit cell a=3.8144 b=3.8309 c=13.8443 alpha=90.00 beta=90.00 gamma=90.00
Closest atoms and distances in Å follow each position.
Space group Imm2 (No. 44)
Symmetry-distinct sites (fractional):
Pr  0.0000  0.0000  0.0000 x2  2 O 2.36
Nd  0.0000  0.0000  0.3048 x2  2 O 2.32
Hg  0.0000  0.0000  0.6528 x2  4 Nd 3.43, 4 Pr 3.43, 4 Hg 3.81-3.83
O  0.0000  0.5000  0.9007 x2  2 Nd 2.32, 2 Pr 2.36

Values from the calculation:
- Uncorrected energy: -0.195 hartree per atom
- N(E_F): 0.814 states/eV per atom
- E_form (uncorrected): -6.38 eV/f.u.



# 2
VASP calculation (PBE) on Er2GeSe4 after structural relaxation.

Unit cell a=6.2423 b=6.2423 c=12.4393 alpha=90.00 beta=90.00 gamma=90.00
Closest atoms and distances in Å follow each position.
Space group I-42m (No. 121)
Symmetry-distinct sites (fractional):
Er  0.0000  0.5000  0.2500 x4  4 Se 2.72
Ge  0.0000  0.0000  0.0000 x2  4 Se 2.72
Se  0.2444  0.2444  0.6222 x8  2 Er 2.72, 1 Ge 2.72

Values from the calculation:
- Uncorrected energy: -0.186 hartree per atom
- N(E_F): 0.000 states/eV per atom
- E_form (uncorrected): -7.71 eV/f.u.



# 3
VASP calculation (PBE) on Cu2SiOs after structural relaxation.

Unit cell a=3.0494 b=3.0494 c=5.4633 alpha=90.00 beta=90.00 gamma=90.00
Closest atoms and distances in Å follow each position.
Space group P4mm (No. 99)
Symmetry-distinct sites (fractional):
Cu  0.0000  0.0000  0.0000 x1  4 Cu 2.46, 4 Si 2.61, 1 Os 2.64
Cu  0.5000  0.5000  0.2179 x1  4 Cu 2.46, 1 Si 2.66, 4 Os 2.70
Si  0.5000  0.5000  0.7317 x1  4 Os 2.46, 5 Cu 2.61-2.66
Os  0.0000  0.0000  0.5161 x1  4 Si 2.46, 5 Cu 2.64-2.70

Values from the calculation:
- Uncorrected energy: -0.229 hartree per atom
- N(E_F): 0.352 states/eV per atom
- E_form (uncorrected): -0.05 eV/f.u.



# 4
VASP calculation (PBE) on TmW4Se8 after structural relaxation.

Unit cell a=6.8194 b=6.8194 c=21.4966 alpha=90.00 beta=90.00 gamma=120.00
Closest atoms and distances in Å follow each position.
Space group R-3m (No. 166, hexagonal axes)
Symmetry-distinct sites (fractional):
Tm  0.0000  0.0000  0.0000 x3  6 Se 2.76
W  0.0000  0.0000  0.5000 x3  6 Se 2.56
W  0.0000  0.5000  0.5000 x9  6 Se 2.58-2.61
Se  0.0000  0.0000  0.2445 x6  3 W 2.58
Se  0.0076  0.5038  0.2452 x18  3 W 2.56-2.61, 1 Tm 2.76

Values from the calculation:
- Uncorrected energy: -0.250 hartree per atom
- N(E_F): 0.809 states/eV per atom
- E_form (uncorrected): -4.13 eV/f.u.



# 5
VASP calculation (PBE) on NaSnTe2Os after structural relaxation.

Unit cell a=5.8704 b=5.8704 c=5.0897 alpha=90.00 beta=90.00 gamma=90.00
Closest atoms and distances in Å follow each position.
Space group P4/mmm (No. 123)
Symmetry-distinct sites (fractional):
Na  0.0000  0.0000  0.0000 x1  8 Te 3.88, 4 Os 4.15
Sn  0.5000  0.5000  0.5000 x1  2 Os 2.54
Te  0.0000  0.5000  0.5000 x2  2 Sn 2.94
Os  0.5000  0.5000  0.0000 x1  2 Sn 2.54

Values from the calculation:
- Uncorrected energy: -0.134 hartree per atom
- N(E_F): 0.981 states/eV per atom
- E_form (uncorrected): 4.67 eV/f.u.



# 6
VASP calculation (PBE) on Mo4RuAu after structural relaxation.

Unit cell a=7.3254 b=7.3254 c=7.3254 alpha=90.00 beta=90.00 gamma=90.00
Closest atoms and distances in Å follow each position.
Space group F-43m (No. 216)
Symmetry-distinct sites (fractional):
Mo  0.1239  0.1239  0.3761 x16  6 Mo 2.57-2.61
Ru  0.0000  0.0000  0.0000 x4  12 Mo 3.04, 4 Au 3.17
Au  0.2500  0.2500  0.7500 x4  12 Mo 3.03, 4 Ru 3.17

Values from the calculation:
- Uncorrected energy: -0.329 hartree per atom
- N(E_F): 0.890 states/eV per atom
- Energy of formation from the pure elements: 0.36 eV/atom



# 7
VASP calculation (PBE) on Pr3Tl5Te12 after structural relaxation.

Unit cell a=18.3115 b=18.3115 c=18.3115 alpha=90.00 beta=90.00 gamma=90.00
Closest atoms and distances in Å follow each position.
Space group Ia-3d (No. 230)
Symmetry-distinct sites (fractional):
Pr  0.0000  0.2500  0.1250 x24  8 Te 3.32-3.36
Tl  0.0000  0.0000  0.0000 x16  6 Te 3.18
Tl  0.0000  0.2500  0.3750 x24  4 Te 2.94
Te  0.0156  0.0721  0.6570 x96  2 Tl 2.94-3.18

Values from the calculation:
- Uncorrected energy: -0.136 hartree per atom
- N(E_F): 0.317 states/eV per atom
- E_form (uncorrected): -10.41 eV/f.u.



# 8
VASP calculation (PBE) on Pr2ZnPd after structural relaxation.

Unit cell a=6.0481 b=4.6606 c=7.9050 alpha=90.00 beta=111.89 gamma=90.00
Closest atoms and distances in Å follow each position.
Space group P2_1/m (No. 11)
Symmetry-distinct sites (fractional):
Pr  0.1885  0.2500  0.4188 x2  3 Pd 2.99-3.16, 4 Zn 3.14-3.19
Pr  0.2849  0.7500  0.0723 x2  3 Zn 3.10-3.18, 4 Pd 3.12-3.26
Zn  0.3687  0.7500  0.7081 x2  2 Pd 2.83, 4 Pr 3.10-3.16
Pd  0.1602  0.2500  0.7887 x2  2 Zn 2.83, 6 Pr 2.99-3.16

Values from the calculation:
- Uncorrected energy: -0.166 hartree per atom
- N(E_F): 0.827 states/eV per atom
- Energy of formation from the pure elements: -0.52 eV/atom
- Energy above the lowest structure with this stoichiometry: 0.000 eV per atom



> Among the records above, which one has the lowest N(E_F)?

Er2GeSe4



> Look up the uncorrected energy of the seventh one.

-0.136 hartree per atom



> What is the N(E_F) in the third record?

0.352 states/eV per atom